Material: LiP5Pt3
Method: DFT, PBE-GGA
State: optimized geometry

Cell: 6.207 6.207 5.109 Å, 90.00 90.00 120.00°
Sites, in units of the cell vectors:
Li: 0.000 0.000 0.000
P: 0.000 0.000 0.500
P: 0.333 0.667 0.206
P: 0.333 0.667 0.794
P: 0.667 0.333 0.206
P: 0.667 0.333 0.794
Pt: 0.000 0.500 0.500
Pt: 0.500 0.000 0.500
Pt: 0.500 0.500 0.500

Values from the calculation:
Volume = 170 Å³ per cell
Final energy = -47.559 eV/cell